CoSb2O6 | PBE with a Hubbard U | relaxed

```
CoSb2O6
1.0
4.726 0.000 0.000
0.000 4.726 0.000
0.000 0.000 9.422
Sb O Co
4 12 2
direct
0.000 0.000 0.668 Sb
0.000 0.000 0.332 Sb
0.500 0.500 0.832 Sb
0.500 0.500 0.168 Sb
0.310 0.690 0.000 O
0.697 0.303 0.672 O
0.197 0.197 0.828 O
0.697 0.303 0.328 O
0.803 0.803 0.172 O
0.303 0.697 0.328 O
0.810 0.810 0.500 O
0.190 0.190 0.500 O
0.303 0.697 0.672 O
0.803 0.803 0.828 O
0.690 0.310 0.000 O
0.197 0.197 0.172 O
0.000 0.000 0.000 Co
0.500 0.500 0.500 Co
```

Output
Volume in Å³/atom: 11.7
Offset from the most stable computed form in eV per formula unit: 0.00